Crystalline LaGaSn4 at its relaxed geometry. Source: the Alexandria database, functional PBE.

Output
- Theoretical density: 6.74 g/cm³
- Total magnetic moment: 0.00 μB/cell
- V: 673.6 Å³ per cell
- Formation energy from the elements: -0.214 eV per atom
- Energy: -4.208 eV per atom

abc: 8.766 8.766 8.766
angles: 90.00 90.00 90.00
Space group F-43m (No. 216)
Inequivalent atoms, fractional coordinates:
La 0.000 0.000 0.000 (multiplicity 4)
Ga 0.250 0.250 0.250 (multiplicity 4)
Sn 0.125 0.125 0.625 (multiplicity 16)

Crystalline LaGa3Sn at its relaxed geometry. Source: the Alexandria database, functional PBE.

Output
- Theoretical density: 4.31 g/cm³
- Total magnetic moment: 0.00 μB/cell
- V: 180.0 Å³ per cell
- Formation energy from the elements: 0.693 eV per atom
- Energy: -2.910 eV per atom

abc: 5.646 5.646 5.646
angles: 90.00 90.00 90.00
Space group Pm-3m (No. 221)
Inequivalent atoms, fractional coordinates:
La 0.000 0.000 0.000 (multiplicity 1)
Ga 0.000 0.000 0.500 (multiplicity 3)
Sn 0.500 0.500 0.500 (multiplicity 1)

Q: Which of these has the lowest energy?
A: LaGaSn4

Q: Look up the energy of the second one.
A: -2.910 eV per atom

Q: Number 1 is which compound?
A: LaGaSn4

What did the first record say?
Crystalline LaGaSn4 at its relaxed geometry. Source: the Alexandria database, functional PBE.

Output
- Theoretical density: 6.74 g/cm³
- Total magnetic moment: 0.00 μB/cell
- V: 673.6 Å³ per cell
- Formation energy from the elements: -0.214 eV per atom
- Energy: -4.208 eV per atom

abc: 8.766 8.766 8.766
angles: 90.00 90.00 90.00
Space group F-43m (No. 216)
Inequivalent atoms, fractional coordinates:
La 0.000 0.000 0.000 (multiplicity 4)
Ga 0.250 0.250 0.250 (multiplicity 4)
Sn 0.125 0.125 0.625 (multiplicity 16)